1.
Y2TeAu2: optimized geometry, PBE.

Cell: 6.333 6.333 6.333 Å, 131.20 131.20 71.50°
Atoms (fractional coordinates):
Y: 0.250 0.750 0.500
Y: 0.750 0.250 0.500
Te: 0.000 0.000 0.000
Au: 0.371 0.371 0.000
Au: 0.629 0.629 0.000

Results
magnetic moment	0.00	μB per cell
formation energy (no corrections)	-0.618	eV per atom
final energy	-5.14	eV/atom
energy relative to the lowest polymorph listed for this composition	25.24	kJ/mol of atoms
D(E_F)	5.23	states/eV/f.u.



2.
YTe2Au: optimized geometry, PBE.

Cell: 4.610 4.610 7.983 Å, 90.00 90.00 120.00°
Atoms (fractional coordinates):
Y: 0.000 0.000 0.000
Te: 0.000 0.000 0.368
Te: 0.333 0.667 0.828
Au: 0.667 0.333 0.284

Results
magnetic moment	0.00	μB per cell
formation energy (no corrections)	-0.740	eV per atom
final energy	-4.75	eV/atom
D(E_F)	1.05	states/eV/f.u.